A geometry-optimized ZrBeInCu structure, computed with PBE.

```
data_ZrBeInCu
_chemical_formula_sum 'Zr4 Be4 In4 Cu4'
_cell_length_a 6.431
_cell_length_b 6.431
_cell_length_c 6.431
_cell_angle_alpha 90.00
_cell_angle_beta 90.00
_cell_angle_gamma 90.00
_symmetry_space_group_name_H-M 'F -4 3 m'
_symmetry_Int_Tables_number 216
_symmetry_space_group_name_Hall 'F -4 2 3'
loop_
_atom_site_label
_atom_site_fract_x
_atom_site_fract_y
_atom_site_fract_z
Zr1 0.000 0.000 0.000
Be1 0.250 0.250 0.750
In1 0.250 0.250 0.250
Cu1 0.000 0.000 0.500
```

---

A geometry-optimized Be2CuIr structure, computed with PBE.

```
data_Be2CuIr
_chemical_formula_sum 'Be4 Cu2 Ir2'
_cell_length_a 3.878
_cell_length_b 3.878
_cell_length_c 5.503
_cell_angle_alpha 90.00
_cell_angle_beta 90.00
_cell_angle_gamma 90.00
_symmetry_space_group_name_H-M 'I 4/m m m'
_symmetry_Int_Tables_number 139
_symmetry_space_group_name_Hall '-I 4 2'
loop_
_atom_site_label
_atom_site_fract_x
_atom_site_fract_y
_atom_site_fract_z
Be1 0.000 0.500 0.250
Cu1 0.000 0.000 0.000
Ir1 0.000 0.000 0.500
```

---

A geometry-optimized Be2CuIr structure, computed with PBE.

```
data_Be2CuIr
_chemical_formula_sum 'Be4 Cu2 Ir2'
_cell_length_a 3.877
_cell_length_b 3.877
_cell_length_c 5.514
_cell_angle_alpha 90.00
_cell_angle_beta 90.00
_cell_angle_gamma 90.00
_symmetry_space_group_name_H-M 'I 4/m m m'
_symmetry_Int_Tables_number 139
_symmetry_space_group_name_Hall '-I 4 2'
loop_
_atom_site_label
_atom_site_fract_x
_atom_site_fract_y
_atom_site_fract_z
Be1 0.000 0.500 0.250
Cu1 0.000 0.000 0.000
Ir1 0.000 0.000 0.500
```

---

A geometry-optimized BeCuIr2 structure, computed with PBE.

```
data_BeCuIr2
_chemical_formula_sum 'Be4 Cu4 Ir8'
_cell_length_a 5.920
_cell_length_b 5.920
_cell_length_c 5.920
_cell_angle_alpha 90.00
_cell_angle_beta 90.00
_cell_angle_gamma 90.00
_symmetry_space_group_name_H-M 'F -4 3 m'
_symmetry_Int_Tables_number 216
_symmetry_space_group_name_Hall 'F -4 2 3'
loop_
_atom_site_label
_atom_site_fract_x
_atom_site_fract_y
_atom_site_fract_z
Be1 0.000 0.000 0.000
Cu1 0.250 0.250 0.250
Ir1 0.000 0.000 0.500
Ir2 0.250 0.250 0.750
```

---

A geometry-optimized Be2CuIr structure, computed with PBE.

```
data_Be2CuIr
_chemical_formula_sum 'Be2 Cu1 Ir1'
_cell_length_a 3.845
_cell_length_b 3.845
_cell_length_c 2.827
_cell_angle_alpha 90.00
_cell_angle_beta 90.00
_cell_angle_gamma 90.00
_symmetry_space_group_name_H-M 'P 4/m m m'
_symmetry_Int_Tables_number 123
_symmetry_space_group_name_Hall '-P 4 2'
loop_
_atom_site_label
_atom_site_fract_x
_atom_site_fract_y
_atom_site_fract_z
Be1 0.000 0.500 0.000
Cu1 0.000 0.000 0.500
Ir1 0.500 0.500 0.500
```

---

A geometry-optimized Be2CuIr structure, computed with PBE.

```
data_Be2CuIr
_chemical_formula_sum 'Be8 Cu4 Ir4'
_cell_length_a 5.610
_cell_length_b 5.610
_cell_length_c 5.610
_cell_angle_alpha 90.00
_cell_angle_beta 90.00
_cell_angle_gamma 90.00
_symmetry_space_group_name_H-M 'F -4 3 m'
_symmetry_Int_Tables_number 216
_symmetry_space_group_name_Hall 'F -4 2 3'
loop_
_atom_site_label
_atom_site_fract_x
_atom_site_fract_y
_atom_site_fract_z
Be1 0.000 0.000 0.000
Be2 0.250 0.250 0.250
Cu1 0.000 0.000 0.500
Ir1 0.250 0.250 0.750
```

---

A geometry-optimized Be2CuIr structure, computed with PBE.

```
data_Be2CuIr
_chemical_formula_sum 'Be2 Cu1 Ir1'
_cell_length_a 3.839
_cell_length_b 3.839
_cell_length_c 2.821
_cell_angle_alpha 90.00
_cell_angle_beta 90.00
_cell_angle_gamma 90.00
_symmetry_space_group_name_H-M 'P 4/m m m'
_symmetry_Int_Tables_number 123
_symmetry_space_group_name_Hall '-P 4 2'
loop_
_atom_site_label
_atom_site_fract_x
_atom_site_fract_y
_atom_site_fract_z
Be1 0.000 0.500 0.000
Cu1 0.000 0.000 0.500
Ir1 0.500 0.500 0.500
```

---

A geometry-optimized Be2CuIr structure, computed with PBE.

```
data_Be2CuIr
_chemical_formula_sum 'Be4 Cu2 Ir2'
_cell_length_a 3.889
_cell_length_b 3.889
_cell_length_c 5.489
_cell_angle_alpha 90.00
_cell_angle_beta 90.00
_cell_angle_gamma 90.00
_symmetry_space_group_name_H-M 'I 4/m m m'
_symmetry_Int_Tables_number 139
_symmetry_space_group_name_Hall '-I 4 2'
loop_
_atom_site_label
_atom_site_fract_x
_atom_site_fract_y
_atom_site_fract_z
Be1 0.000 0.500 0.250
Cu1 0.000 0.000 0.000
Ir1 0.000 0.000 0.500
```

---

A geometry-optimized Be2CuIr2 structure, computed with PBE.

```
data_Be2CuIr2
_chemical_formula_sum 'Be4 Cu2 Ir4'
_cell_length_a 6.174
_cell_length_b 6.174
_cell_length_c 2.939
_cell_angle_alpha 90.00
_cell_angle_beta 90.00
_cell_angle_gamma 90.00
_symmetry_space_group_name_H-M 'P 4/m b m'
_symmetry_Int_Tables_number 127
_symmetry_space_group_name_Hall '-P 4 2ab'
loop_
_atom_site_label
_atom_site_fract_x
_atom_site_fract_y
_atom_site_fract_z
Be1 0.129 0.371 0.000
Cu1 0.000 0.000 0.000
Ir1 0.166 0.666 0.500
```

---

A geometry-optimized BeCuIrPb structure, computed with PBE.

```
data_BeCuIrPb
_chemical_formula_sum 'Be4 Cu4 Ir4 Pb4'
_cell_length_a 6.265
_cell_length_b 6.265
_cell_length_c 6.265
_cell_angle_alpha 90.00
_cell_angle_beta 90.00
_cell_angle_gamma 90.00
_symmetry_space_group_name_H-M 'F -4 3 m'
_symmetry_Int_Tables_number 216
_symmetry_space_group_name_Hall 'F -4 2 3'
loop_
_atom_site_label
_atom_site_fract_x
_atom_site_fract_y
_atom_site_fract_z
Be1 0.000 0.000 0.000
Cu1 0.250 0.250 0.750
Ir1 0.250 0.250 0.250
Pb1 0.000 0.000 0.500
```

---

A geometry-optimized BeCuIrPb structure, computed with PBE.

```
data_BeCuIrPb
_chemical_formula_sum 'Be4 Cu4 Ir4 Pb4'
_cell_length_a 6.220
_cell_length_b 6.220
_cell_length_c 6.220
_cell_angle_alpha 90.00
_cell_angle_beta 90.00
_cell_angle_gamma 90.00
_symmetry_space_group_name_H-M 'F -4 3 m'
_symmetry_Int_Tables_number 216
_symmetry_space_group_name_Hall 'F -4 2 3'
loop_
_atom_site_label
_atom_site_fract_x
_atom_site_fract_y
_atom_site_fract_z
Be1 0.000 0.000 0.000
Cu1 0.000 0.000 0.500
Ir1 0.250 0.250 0.750
Pb1 0.250 0.250 0.250
```

---

A geometry-optimized BeCuSnIr structure, computed with PBE.

```
data_BeCuSnIr
_chemical_formula_sum 'Be4 Cu4 Sn4 Ir4'
_cell_length_a 6.140
_cell_length_b 6.140
_cell_length_c 6.140
_cell_angle_alpha 90.00
_cell_angle_beta 90.00
_cell_angle_gamma 90.00
_symmetry_space_group_name_H-M 'F -4 3 m'
_symmetry_Int_Tables_number 216
_symmetry_space_group_name_Hall 'F -4 2 3'
loop_
_atom_site_label
_atom_site_fract_x
_atom_site_fract_y
_atom_site_fract_z
Be1 0.000 0.000 0.000
Cu1 0.250 0.250 0.750
Sn1 0.000 0.000 0.500
Ir1 0.250 0.250 0.250
```

---

E values, unit eV/cell, following the record order: -72.1; -43.3; -43.3; -98.2; -21.8; -81.6; -21.8; -43.3; -61.2; -73.8; -73.3; -80.8.